1.
TaSnC3 | PBE | relaxed

- Energy relative to the elements: 2872 meV per atom
- Magnetic moment: 0.00 μB per cell

abc: 4.125 4.125 4.125
angles: 90.00 90.00 90.00
Space group Pm-3m (No. 221)
Unique sites:
Ta 0.000 0.000 0.000
Sn 0.500 0.500 0.500
C 0.000 0.500 0.500


2.
TaSn3C | PBE | relaxed

- Energy relative to the elements: 1219 meV per atom
- Magnetic moment: 0.00 μB per cell

abc: 4.657 4.657 4.657
angles: 90.00 90.00 90.00
Space group Pm-3m (No. 221)
Unique sites:
Ta 0.000 0.000 0.000
Sn 0.000 0.500 0.500
C 0.500 0.500 0.500


3.
TaSn3C | PBE | relaxed

- Energy relative to the elements: 1692 meV per atom
- Magnetic moment: 2.08 μB per cell

abc: 5.384 5.384 5.384
angles: 90.00 90.00 90.00
Space group Pm-3m (No. 221)
Unique sites:
Ta 0.000 0.000 0.000
Sn 0.000 0.000 0.500
C 0.500 0.500 0.500


4.
Ta2Ti3Sn2C2 | PBE | relaxed

- Energy relative to the elements: 77 meV per atom
- Magnetic moment: 0.00 μB per cell

abc: 3.971 3.971 18.872
angles: 90.00 90.00 90.00
Space group I4/mmm (No. 139)
Unique sites:
Ta 0.000 0.000 0.069
Ti 0.000 0.000 0.500
Ti 0.000 0.500 0.250
Sn 0.000 0.000 0.355
C 0.000 0.500 0.000


5.
TaV2SnC | PBE | relaxed

- Energy relative to the elements: 1483 meV per atom
- Magnetic moment: 1.73 μB per cell

abc: 4.860 4.860 4.080
angles: 90.00 90.00 90.00
Space group P4/mmm (No. 123)
Unique sites:
Ta 0.000 0.000 0.000
V 0.000 0.500 0.000
Sn 0.500 0.500 0.500
C 0.000 0.000 0.500


6.
Tb9Sn3C2 | PBE | relaxed

- Energy relative to the elements: -545 meV per atom
- Magnetic moment: 0.00 μB per cell

abc: 6.9344 6.9344 8.5010
angles: 90.00 90.00 120.00
Space group P-3m1 (No. 164)
Unique sites:
Tb 0.0000 0.5000 0.0000
Tb 0.1695 0.3389 0.6690
Sn 0.0000 0.0000 0.0000
Sn 0.3333 0.6667 0.3332
C 0.3333 0.6667 0.8285


7.
Tb4SnC | PBE | relaxed

- Energy relative to the elements: -314 meV per atom
- Magnetic moment: 0.00 μB per cell

abc: 15.411 5.995 6.967
angles: 90.00 107.54 90.00
Space group C2/c (No. 15)
Unique sites:
Tb 0.102 0.073 0.433
Tb 0.189 0.444 0.168
Sn 0.000 0.422 0.750
C 0.250 0.250 0.500


8.
Tb6Sn3C | PBE | relaxed

- Energy relative to the elements: -517 meV per atom
- Magnetic moment: 0.00 μB per cell

abc: 6.380 8.257 11.930
angles: 90.00 119.62 90.00
Space group P2_1/c (No. 14)
Unique sites:
Tb 0.095 0.048 0.226
Tb 0.176 0.720 0.057
Tb 0.382 0.148 0.051
Sn 0.324 0.106 0.736
Sn 0.500 0.000 0.500
C 0.000 0.000 0.000


9.
Tb4Sn2C | PBE | relaxed

- Energy relative to the elements: -498 meV per atom
- Magnetic moment: 0.00 μB per cell

abc: 6.525 6.732 9.267
angles: 90.00 109.81 90.00
Space group P2_1/m (No. 11)
Unique sites:
Tb 0.174 0.250 0.062
Tb 0.243 0.000 0.730
Tb 0.279 0.750 0.348
Sn 0.225 0.250 0.420
Sn 0.348 0.750 0.034
C 0.075 0.250 0.803


10.
Tb4Sn2C | PBE | relaxed

- Energy relative to the elements: -648 meV per atom
- Magnetic moment: 0.00 μB per cell

abc: 4.826 4.826 16.036
angles: 90.00 90.00 90.00
Space group I4/mmm (No. 139)
Unique sites:
Tb 0.000 0.000 0.160
Tb 0.000 0.500 0.000
Sn 0.000 0.000 0.360
C 0.000 0.000 0.000


11.
Tb8Sn2C3 | PBE | relaxed

- Energy relative to the elements: -329 meV per atom
- Magnetic moment: 0.00 μB per cell

abc: 15.091 7.303 6.466
angles: 90.00 107.02 90.00
Space group C2/m (No. 12)
Unique sites:
Tb 0.091 0.240 0.389
Tb 0.095 0.000 0.900
Tb 0.104 0.500 0.946
Sn 0.245 0.500 0.670
C 0.000 0.000 0.500
C 0.000 0.255 0.000


12.
Tb5Sn2C | PBE | relaxed

- Energy relative to the elements: -82 meV per atom
- Magnetic moment: 5.27 μB per cell

abc: 5.267 16.060 12.129
angles: 90.00 90.00 90.00
Space group Cmcm (No. 63)
Unique sites:
Tb 0.000 0.072 0.114
Tb 0.000 0.282 0.087
Tb 0.000 0.308 0.750
Sn 0.000 0.128 0.625
C 0.000 0.178 0.250